[1]
Below is a relaxed Ca3CeSb2As crystal, with properties calculated at the GGA-PBE level.

Unit cell a=5.3324 b=5.5582 c=16.2842 alpha=90.00 beta=90.00 gamma=90.00
Fractional coordinates of all 14 atoms:
Ca 0.0000 0.0000 0.0000
Ca 0.0000 0.5000 0.3212
Ca 0.0000 0.5000 0.6788
Ca 0.5000 0.0000 0.1788
Ca 0.5000 0.0000 0.8212
Ca 0.5000 0.5000 0.5000
Ce 0.0000 0.0000 0.5000
Ce 0.5000 0.5000 0.0000
Sb 0.0000 0.5000 0.1308
Sb 0.0000 0.5000 0.8692
Sb 0.5000 0.0000 0.3692
Sb 0.5000 0.0000 0.6308
As 0.0000 0.5000 0.5000
As 0.5000 0.0000 0.0000

Summary:
**Raw formation energy**: -0.90 eV/atom
**SG**: Immm, No. 71
**Final energy**: -4.44 eV/atom

---

[2]
Below is a relaxed PuTl2GeS4 crystal, with properties calculated at the GGA-PBE level.

Unit cell a=8.3127 b=8.3127 c=8.3127 alpha=120.19 beta=119.45 gamma=90.31
Fractional coordinates of all 16 atoms:
Pu 0.5000 0.0000 0.0000
Pu 0.5000 0.5000 0.5000
Tl 0.0000 0.0000 0.0000
Tl 0.0000 0.0000 0.5000
Tl 0.0000 0.5000 0.0000
Tl 0.5000 0.0000 0.5000
Ge 0.0000 0.5000 0.5000
Ge 0.5000 0.5000 0.0000
S 0.2708 0.7327 0.5381
S 0.2716 0.3044 0.5329
S 0.2716 0.7387 0.9672
S 0.3054 0.2673 0.0381
S 0.6946 0.7327 0.9619
S 0.7284 0.2613 0.0328
S 0.7284 0.6956 0.4672
S 0.7292 0.2673 0.4619

Summary:
**Raw formation energy**: -0.71 eV/atom
**SG**: Imma, No. 74
**Final energy**: -5.73 eV/atom

---

[3]
Below is a relaxed RbHoCd17 crystal, with properties calculated at the GGA-PBE level.

Unit cell a=7.7848 b=7.7848 c=7.7848 alpha=82.32 beta=82.32 gamma=82.32
Fractional coordinates of all 19 atoms:
Rb 0.0000 0.0000 0.0000
Ho 0.6649 0.6649 0.6649
Cd 0.0386 0.3402 0.6311
Cd 0.0386 0.6311 0.3402
Cd 0.2144 0.6854 0.6854
Cd 0.2472 0.2472 0.2472
Cd 0.3186 0.3186 0.8576
Cd 0.3186 0.8576 0.3186
Cd 0.3402 0.0386 0.6311
Cd 0.3402 0.6311 0.0386
Cd 0.4452 0.4452 0.4452
Cd 0.5347 0.9565 0.9565
Cd 0.6311 0.0386 0.3402
Cd 0.6311 0.3402 0.0386
Cd 0.6854 0.2144 0.6854
Cd 0.6854 0.6854 0.2144
Cd 0.8576 0.3186 0.3186
Cd 0.9565 0.5347 0.9565
Cd 0.9565 0.9565 0.5347

Summary:
**SG**: R3m, No. 160
**Final energy**: -1.17 eV/atom

---

[4]
Below is a relaxed Th2SnRh6 crystal, with properties calculated at the GGA-PBE level.

Unit cell a=7.7245 b=7.7245 c=7.7245 alpha=152.16 beta=121.22 gamma=66.26
Fractional coordinates of all 9 atoms:
Th 0.1588 0.1588 0.0000
Th 0.8412 0.8412 0.0000
Sn 0.5000 0.5000 0.0000
Rh 0.1118 0.3333 0.7785
Rh 0.2493 0.0000 0.2493
Rh 0.4452 0.6667 0.7785
Rh 0.5548 0.3333 0.2215
Rh 0.7507 0.0000 0.7507
Rh 0.8882 0.6667 0.2215

Summary:
**SG**: Immm, No. 71
**Final energy**: -7.44 eV/atom

---

[5]
Below is a relaxed RbHgTe3 crystal, with properties calculated at the GGA-PBE level.

Unit cell a=7.2522 b=7.2522 c=7.2522 alpha=79.84 beta=79.84 gamma=79.84
Fractional coordinates of all 10 atoms:
Rb 0.0000 0.0000 0.0000
Rb 0.5000 0.5000 0.5000
Hg 0.2503 0.2503 0.2503
Hg 0.7503 0.7503 0.7503
Te 0.9998 0.4436 0.5565
Te 0.0565 0.9436 0.4998
Te 0.4436 0.5565 0.9998
Te 0.4998 0.0565 0.9436
Te 0.5565 0.9998 0.4436
Te 0.9436 0.4998 0.0565

Summary:
**Relative energy among the computed polymorphs**: 0.0 meV/atom
**Raw formation energy**: -0.17 eV/atom
**SG**: R3c, No. 161
**Final energy**: -2.31 eV/atom

---

[6]
Below is a relaxed La2EuAu crystal, with properties calculated at the GGA-PBE level.

Unit cell a=3.9971 b=3.9971 c=31.1749 alpha=90.00 beta=90.00 gamma=120.00
Fractional coordinates of all 12 atoms:
La 0.0000 0.0000 0.2321
La 0.0000 0.0000 0.7679
La 0.3333 0.6667 0.4346
La 0.3333 0.6667 0.8988
La 0.6667 0.3333 0.1013
La 0.6667 0.3333 0.5654
Eu 0.0000 0.0000 0.0000
Eu 0.3333 0.6667 0.6667
Eu 0.6667 0.3333 0.3333
Au 0.0000 0.0000 0.5000
Au 0.3333 0.6667 0.1667
Au 0.6667 0.3333 0.8333

Summary:
**Relative energy among the computed polymorphs**: 80.8 meV/atom
**SG**: R-3m, No. 166
**Final energy**: -6.12 eV/atom